*P*
Below is Hf6Sn2H after structural relaxation, with properties calculated at the PBE-GGA level.

Calculated values
DOS(E_F) = 0.92 states/eV/atom

CIF file:
```
data_Hf6Sn2H
_space_group_name_H-M_alt 'P 42/m n m'
_space_group_IT_number 136
_space_group_name_Hall '-P 4n 2n'
_cell_length_a 5.5910
_cell_length_b 5.5910
_cell_length_c 13.5177
_cell_angle_alpha 90.00
_cell_angle_beta 90.00
_cell_angle_gamma 90.00
loop_
_atom_site_label
_atom_site_fract_x
_atom_site_fract_y
_atom_site_fract_z
Hf1 0.1817 0.1817 0.1122
Hf2 0.1939 0.1939 0.5000
Sn1 0.0000 0.0000 0.3021
H1 0.0000 0.0000 0.0000
```



*Q*
Below is Hf6Sn2H after structural relaxation, with properties calculated at the PBE-GGA level.

Calculated values
DOS(E_F) = 0.88 states/eV/atom

CIF file:
```
data_Hf6Sn2H
_space_group_name_H-M_alt 'I 4/m m m'
_space_group_IT_number 139
_space_group_name_Hall '-I 4 2'
_cell_length_a 6.3032
_cell_length_b 6.3032
_cell_length_c 8.7948
_cell_angle_alpha 90.00
_cell_angle_beta 90.00
_cell_angle_gamma 90.00
loop_
_atom_site_label
_atom_site_fract_x
_atom_site_fract_y
_atom_site_fract_z
Hf1 0.0000 0.0000 0.2475
Hf2 0.2485 0.2485 0.0000
Sn1 0.0000 0.5000 0.2500
H1 0.0000 0.0000 0.5000
```



Tell me which of them is the most stable. Sure, it is *Q*.



*P*
Below is HfSn2H after structural relaxation, with properties calculated at the PBE-GGA level.

Calculated values
DOS(E_F) = 0.94 states/eV/atom

CIF file:
```
data_HfSn2H
_space_group_name_H-M_alt 'F m -3 m'
_space_group_IT_number 225
_space_group_name_Hall '-F 4 2 3'
_cell_length_a 6.9294
_cell_length_b 6.9294
_cell_length_c 6.9294
_cell_angle_alpha 90.00
_cell_angle_beta 90.00
_cell_angle_gamma 90.00
loop_
_atom_site_label
_atom_site_fract_x
_atom_site_fract_y
_atom_site_fract_z
Hf1 0.0000 0.0000 0.0000
Sn1 0.2500 0.2500 0.2500
H1 0.0000 0.0000 0.5000
```



*Q*
Below is HfSn2H after structural relaxation, with properties calculated at the PBE-GGA level.

Calculated values
DOS(E_F) = 0.54 states/eV/atom

CIF file:
```
data_HfSn2H
_space_group_name_H-M_alt 'I -4 2 d'
_space_group_IT_number 122
_space_group_name_Hall 'I -4 2bw'
_cell_length_a 6.7278
_cell_length_b 6.7278
_cell_length_c 6.6560
_cell_angle_alpha 90.00
_cell_angle_beta 90.00
_cell_angle_gamma 90.00
loop_
_atom_site_label
_atom_site_fract_x
_atom_site_fract_y
_atom_site_fract_z
Hf1 0.0000 0.0000 0.0000
Sn1 0.1603 0.2500 0.6250
H1 0.0000 0.0000 0.5000
```



*R*
Below is HfSn2H after structural relaxation, with properties calculated at the PBE-GGA level.

Calculated values
DOS(E_F) = 0.47 states/eV/atom

CIF file:
```
data_HfSn2H
_space_group_name_H-M_alt 'C 1 m 1'
_space_group_IT_number 8
_cell_length_a 6.0572
_cell_length_b 3.3553
_cell_length_c 7.5217
_cell_angle_alpha 90.00
_cell_angle_beta 90.12
_cell_angle_gamma 90.00
loop_
_space_group_symop_operation_xyz
'x,y,z'
'x,-y,z'
'x+1/2,y+1/2,z'
'x+1/2,-y+1/2,z'
loop_
_atom_site_label
_atom_site_fract_x
_atom_site_fract_y
_atom_site_fract_z
Hf1 0.0000 0.0000 0.0000
Sn1 0.3307 0.0000 0.6906
Sn2 0.3317 0.0000 0.3091
H1 0.1728 0.5000 0.9995
```



Tell me which of them is the most stable. Sure, it is *R*.